No. 1
Material: SmDyNbN3
Method: DFT, PBE
State: relaxed

## Properties
formation energy from raw total energies	-1.10	eV/atom
total DFT energy (no corrections)	-8.492	eV/atom
size of the total moment	0.00	μB per cell

abc: 6.522 3.335 9.450
angles: 90.00 94.82 90.00
Space group P2_1/m (No. 11)
Symmetry-distinct sites (fractional):
Sm 0.206 0.250 0.246 (multiplicity 2)
Dy 0.330 0.750 0.890 (multiplicity 2)
Nb 0.137 0.250 0.581 (multiplicity 2)
N 0.099 0.250 0.794 (multiplicity 2)
N 0.201 0.750 0.460 (multiplicity 2)
N 0.406 0.750 0.130 (multiplicity 2)


No. 2
Material: ScGaCu2
Method: DFT, PBE
State: relaxed

## Properties
total DFT energy (no corrections)	-4.592	eV/atom
formation enthalpy at 0 K	-0.2040	eV per atom
size of the total moment	0.00	μB per cell

abc: 3.302 3.302 5.772
angles: 90.00 90.00 90.00
Space group P4/mmm (No. 123)
Symmetry-distinct sites (fractional):
Sc 0.000 0.000 0.000 (multiplicity 1)
Ga 0.000 0.000 0.500 (multiplicity 1)
Cu 0.500 0.500 0.259 (multiplicity 2)


No. 3
Material: MnPbI4
Method: DFT, PBE
State: relaxed

## Properties
formation energy from raw total energies	-0.52	eV/atom
total DFT energy (no corrections)	-3.702	eV/atom
size of the total moment	9.99	μB per cell

abc: 16.609 4.352 7.852
angles: 90.00 116.14 90.00
Space group C2/m (No. 12)
Symmetry-distinct sites (fractional):
Mn 0.000 0.000 0.000 (multiplicity 2)
Pb 0.000 0.500 0.500 (multiplicity 2)
I 0.111 0.500 0.249 (multiplicity 4)
I 0.119 0.000 0.816 (multiplicity 4)


No. 4
Material: La3NdSb3
Method: DFT, PBE
State: relaxed

## Properties
formation energy from raw total energies	-1.01	eV/atom
energy relative to the lowest polymorph listed for this composition	114	meV/atom
total DFT energy (no corrections)	-5.565	eV/atom
size of the total moment	0.00	μB per cell

abc: 9.4697 9.4697 19.3305
angles: 90.00 90.00 120.00
Space group R-3 (No. 148, hexagonal axes)
Symmetry-distinct sites (fractional):
La 0.0065 0.2728 0.0882 (multiplicity 18)
Nd 0.0000 0.0000 0.3326 (multiplicity 6)
Sb 0.0058 0.3843 0.9225 (multiplicity 18)


No. 5
Material: ErPu2Os
Method: DFT, PBE
State: relaxed

## Properties
total DFT energy (no corrections)	-10.714	eV/atom
formation enthalpy at 0 K	0.3997	eV per atom
size of the total moment	32.66	μB per cell

abc: 3.2720 3.2720 32.0034
angles: 90.00 90.00 120.00
Space group R-3m (No. 166, hexagonal axes)
Symmetry-distinct sites (fractional):
Er 0.0000 0.0000 0.0000 (multiplicity 3)
Pu 0.0000 0.0000 0.1002 (multiplicity 6)
Os 0.0000 0.0000 0.5000 (multiplicity 3)